VASP calculation (PBE) on a geometry-optimized In7Hg structure.

Output
Total magnetic moment, μB per formula unit: 0.00
ρ, g/cm3: 7.75
DFT total energy, Ry/atom: -0.1778
D(E_F), states/eV/atom: 0.6296

Unit cell a=9.5141 b=9.5141 c=9.5141 alpha=90.00 beta=90.00 gamma=90.00
With the nearest neighbours (Å) after each atom.
Space group Fm-3m (No. 225)
Unique sites:
In  0.0000  0.0000  0.0000  12 In 3.36
In  0.0000  0.2500  0.2500  10 In 3.36, 2 Hg 3.36
Hg  0.0000  0.0000  0.5000  12 In 3.36

=====

VASP calculation (PBE) on a geometry-optimized In4Hg5 structure.

Output
Energy relative to the lowest polymorph listed for this composition, meV/atom: 12
Total magnetic moment, μB per formula unit: 0.00
ρ, g/cm3: 10.16
D(E_F), states/eV/atom: 0.3771

Unit cell a=10.9003 b=10.9003 c=4.0226 alpha=90.00 beta=90.00 gamma=90.00
With the nearest neighbours (Å) after each atom.
Space group I4/mmm (No. 139)
Unique sites:
In  0.0000  0.3283  0.0000  5 Hg 3.23-3.58, 4 In 3.32
Hg  0.0000  0.0000  0.0000  8 Hg 3.26, 4 In 3.58
Hg  0.1666  0.1666  0.5000  4 In 3.23, 4 Hg 3.26-3.27

=====

VASP calculation (PBE) on a geometry-optimized InHg structure.

Output
Total magnetic moment, μB per formula unit: 0.00
ρ, g/cm3: 9.43
DFT total energy, Ry/atom: -0.1097
D(E_F), states/eV/atom: 0.7050

Unit cell a=3.9078 b=3.9078 c=8.3998 alpha=90.00 beta=90.00 gamma=120.00
With the nearest neighbours (Å) after each atom.
Space group P6_3/mmc (No. 194)
Unique sites:
In  0.3333  0.6667  0.2500  6 Hg 3.08
Hg  0.0000  0.0000  0.0000  6 In 3.08

=====

VASP calculation (PBE) on a geometry-optimized In6Hg7 structure.

Output
Total magnetic moment, μB per formula unit: 0.00
ρ, g/cm3: 9.81
DFT total energy, Ry/atom: -0.0992
D(E_F), states/eV/atom: 0.4614

Unit cell a=6.0892 b=6.0892 c=33.1114 alpha=90.00 beta=90.00 gamma=120.00
With the nearest neighbours (Å) after each atom.
Space group R-3m (No. 166, hexagonal axes)
Unique sites:
In  0.0000  0.0000  0.0459  1 In 3.04, 6 Hg 3.33
In  0.0000  0.0000  0.1519  4 In 3.51-3.65, 12 Hg 3.55-3.74
In  0.0000  0.0000  0.3345  6 Hg 3.33-3.38, 3 In 3.52
Hg  0.0000  0.0000  0.5000  6 Hg 3.19, 6 In 3.55
Hg  0.0031  0.5015  0.9136  5 Hg 3.02-3.19, 3 In 3.33

=====

VASP calculation (PBE) on a geometry-optimized In8Hg3 structure.

Output
Energy relative to the lowest polymorph listed for this composition, meV/atom: 0
Total magnetic moment, μB per formula unit: 0.00
ρ, g/cm3: 7.82
D(E_F), states/eV/atom: 0.2343

Unit cell a=11.8360 b=11.8360 c=7.9783 alpha=90.00 beta=90.00 gamma=120.00
With the nearest neighbours (Å) after each atom.
Space group R-3 (No. 148, hexagonal axes)
Unique sites:
In  0.0000  0.0000  0.2348  3 In 3.34, 3 Hg 3.51
In  0.0447  0.7726  0.9520  3 Hg 3.02-3.29, 6 In 3.09-3.34
Hg  0.0000  0.5000  0.0000  6 In 3.02-3.29

=====

VASP calculation (PBE) on a geometry-optimized In24Hg5 structure.

Output
Total magnetic moment, μB per formula unit: 0.00
ρ, g/cm3: 7.81
DFT total energy, Ry/atom: -0.1677
D(E_F), states/eV/atom: 0.5355

Unit cell a=11.6911 b=11.6911 c=11.6911 alpha=90.00 beta=90.00 gamma=90.00
With the nearest neighbours (Å) after each atom.
Space group I-43m (No. 217)
Unique sites:
In  0.0524  0.3594  0.6406  11 In 3.20-3.56, 1 Hg 3.34
In  0.0938  0.0938  0.7135  8 In 3.10-3.37, 2 Hg 3.43
Hg  0.0000  0.0000  0.0000  4 Hg 3.31, 12 In 3.69
Hg  0.1637  0.1637  0.1637  1 Hg 3.31, 9 In 3.34-3.43

=====

VASP calculation (PBE) on a geometry-optimized InHg structure.

Output
Total magnetic moment, μB per formula unit: 0.00
ρ, g/cm3: 9.74
DFT total energy, Ry/atom: -0.1118
D(E_F), states/eV/atom: 0.1922

Unit cell a=3.7869 b=3.7869 c=12.9864 alpha=90.00 beta=90.00 gamma=120.00
With the nearest neighbours (Å) after each atom.
Space group R-3m (No. 166, hexagonal axes)
Unique sites:
In  0.0000  0.0000  0.0000  6 Hg 3.08
Hg  0.0000  0.0000  0.5000  6 In 3.08

=====

VASP calculation (PBE) on a geometry-optimized In3Hg4 structure.

Output
Energy relative to the lowest polymorph listed for this composition, meV/atom: 0
Total magnetic moment, μB per formula unit: 0.00
ρ, g/cm3: 10.21
D(E_F), states/eV/atom: 0.3404

Unit cell a=3.5886 b=4.0664 c=12.9286 alpha=82.65 beta=86.54 gamma=86.26
With the nearest neighbours (Å) after each atom.
Space group P-1 (No. 2)
Unique sites:
In  0.0000  0.0000  0.0000  8 Hg 3.15-3.49
In  0.1475  0.1451  0.7129  8 Hg 3.15-3.48
Hg  0.2851  0.2860  0.4297  4 Hg 3.14-3.46, 4 In 3.15-3.46
Hg  0.4231  0.4282  0.1434  8 In 3.15-3.49

=====

VASP calculation (PBE) on a geometry-optimized InHg structure.

Output
Total magnetic moment, μB per formula unit: 0.00
ρ, g/cm3: 9.83
DFT total energy, Ry/atom: -0.1110
D(E_F), states/eV/atom: 0.4031

Unit cell a=3.8830 b=5.0620 c=10.8435 alpha=90.00 beta=90.00 gamma=90.00
With the nearest neighbours (Å) after each atom.
Space group Imma (No. 74)
Unique sites:
In  0.0000  0.2500  0.1212  6 Hg 3.19-3.32, 2 In 3.40
Hg  0.0000  0.2500  0.6270  6 In 3.19-3.32, 2 Hg 3.30

=====

VASP calculation (PBE) on a geometry-optimized InHg12 structure.

Output
Energy relative to the lowest polymorph listed for this composition, meV/atom: 195
Total magnetic moment, μB per formula unit: 0.00
ρ, g/cm3: 7.79
D(E_F), states/eV/atom: 0.4101

Unit cell a=12.9087 b=12.9087 c=12.9087 alpha=90.00 beta=90.00 gamma=90.00
With the nearest neighbours (Å) after each atom.
Space group Fm-3m (No. 225)
Unique sites:
In  0.0000  0.0000  0.0000  24 Hg 4.79
Hg  0.0000  0.1699  0.3301  5 Hg 2.92-3.10

=====

VASP calculation (PBE) on a geometry-optimized In4Hg3 structure.

Output
Energy relative to the lowest polymorph listed for this composition, meV/atom: 0
Total magnetic moment, μB per formula unit: 0.00
ρ, g/cm3: 9.42
D(E_F), states/eV/atom: 0.4486

Unit cell a=3.9331 b=3.9331 c=24.1735 alpha=90.00 beta=90.00 gamma=90.00
With the nearest neighbours (Å) after each atom.
Space group I4/mmm (No. 139)
Unique sites:
In  0.0000  0.0000  0.0704  5 Hg 3.26-3.50, 5 In 3.34-3.40
In  0.0000  0.0000  0.3533  6 Hg 3.24-3.55, 4 In 3.34
Hg  0.0000  0.0000  0.2151  6 In 3.24-3.50, 4 Hg 3.25
Hg  0.0000  0.0000  0.5000  10 In 3.26-3.55

=====

VASP calculation (PBE) on a geometry-optimized InHg8 structure.

Output
Energy relative to the lowest polymorph listed for this composition, meV/atom: 4
Total magnetic moment, μB per formula unit: 0.00
ρ, g/cm3: 11.65
D(E_F), states/eV/atom: 0.2723

Unit cell a=9.7213 b=9.7213 c=5.1864 alpha=90.00 beta=90.00 gamma=90.00
With the nearest neighbours (Å) after each atom.
Space group I4/mmm (No. 139)
Unique sites:
In  0.0000  0.0000  0.0000  12 Hg 3.26-3.47
Hg  0.0000  0.3348  0.0000  11 Hg 3.21-3.47, 1 In 3.26
Hg  0.1679  0.1679  0.5000  10 Hg 3.23-3.47, 2 In 3.47